HoZn: optimized geometry, PBEsol.

Cell: 3.4854 3.4854 3.4854 Å, 90.00 90.00 90.00°
Space group Pm-3m (No. 221)
Asymmetric unit:
Ho1 0.0000 0.0000 0.0000
Zn1 0.5000 0.5000 0.5000

Results
* volume: 42 Å³/cell
* mass density: 9.03 g/cm³
* uncorrected energy: -7.2 eV per formula unit
* size of the total moment: 0.002 μB/f.u.
* ΔE_f: -343.9 meV/atom